1:
## GeBTeI2 (PBE)

Data for a geometry-optimized GeBTeI2 structure.

Calculated values
- V: 25.99 A^3/atom

Lattice parameters (Å, degrees): 5.004 5.004 5.190 90.00 90.00 90.00
Space group P4/mmm (No. 123)
One atom of each set of equivalent atoms:
Ge 0.000 0.000 0.000 (multiplicity 1)
B 0.500 0.500 0.500 (multiplicity 1)
Te 0.500 0.500 0.000 (multiplicity 1)
I 0.000 0.500 0.500 (multiplicity 2)

***

2:
## GeBTeI2 (PBE)

Data for a geometry-optimized GeBTeI2 structure.

Calculated values
- V: 36.13 A^3/atom

Lattice parameters (Å, degrees): 5.716 5.716 5.528 90.00 90.00 90.00
Space group P4/mmm (No. 123)
One atom of each set of equivalent atoms:
Ge 0.000 0.000 0.000 (multiplicity 1)
B 0.500 0.500 0.500 (multiplicity 1)
Te 0.000 0.000 0.500 (multiplicity 1)
I 0.000 0.500 0.000 (multiplicity 2)

***

Relative stability in meV per atom, measured from the most stable structure: 1 0; 2 321

***

1:
## InGeB3 (PBE)

Data for a geometry-optimized InGeB3 structure.

Calculated values
- V: 18.17 A^3/atom

Lattice parameters (Å, degrees): 4.495 4.495 4.495 90.00 90.00 90.00
Space group Pm-3m (No. 221)
One atom of each set of equivalent atoms:
In 0.000 0.000 0.000 (multiplicity 1)
Ge 0.500 0.500 0.500 (multiplicity 1)
B 0.000 0.000 0.500 (multiplicity 3)

***

2:
## InGeB3 (PBE)

Data for a geometry-optimized InGeB3 structure.

Calculated values
- V: 15.15 A^3/atom

Lattice parameters (Å, degrees): 4.231 4.231 4.231 90.00 90.00 90.00
Space group Pm-3m (No. 221)
One atom of each set of equivalent atoms:
In 0.000 0.000 0.000 (multiplicity 1)
Ge 0.500 0.500 0.500 (multiplicity 1)
B 0.000 0.500 0.500 (multiplicity 3)

***

Relative stability in meV per atom, measured from the most stable structure: 1 594; 2 0

***

1:
## InGe3B (PBE)

Data for a geometry-optimized InGe3B structure.

Calculated values
- V: 28.92 A^3/atom

Lattice parameters (Å, degrees): 5.248 5.248 5.248 90.00 90.00 90.00
Space group Pm-3m (No. 221)
One atom of each set of equivalent atoms:
In 0.000 0.000 0.000 (multiplicity 1)
Ge 0.000 0.000 0.500 (multiplicity 3)
B 0.500 0.500 0.500 (multiplicity 1)

***

2:
## InGe3B (PBE)

Data for a geometry-optimized InGe3B structure.

Calculated values
- V: 18.53 A^3/atom

Lattice parameters (Å, degrees): 4.525 4.525 4.525 90.00 90.00 90.00
Space group Pm-3m (No. 221)
One atom of each set of equivalent atoms:
In 0.000 0.000 0.000 (multiplicity 1)
Ge 0.000 0.500 0.500 (multiplicity 3)
B 0.500 0.500 0.500 (multiplicity 1)

***

Relative stability in meV per atom, measured from the most stable structure: 1 1194; 2 0

***

1:
## GeB3Ir (PBE)

Data for a geometry-optimized GeB3Ir structure.

Calculated values
- V: 12.96 A^3/atom

Lattice parameters (Å, degrees): 4.016 4.016 4.016 90.00 90.00 90.00
Space group Pm-3m (No. 221)
One atom of each set of equivalent atoms:
Ge 0.000 0.000 0.000 (multiplicity 1)
B 0.000 0.000 0.500 (multiplicity 3)
Ir 0.500 0.500 0.500 (multiplicity 1)

***

2:
## GeB3Ir (PBE)

Data for a geometry-optimized GeB3Ir structure.

Calculated values
- V: 14.22 A^3/atom

Lattice parameters (Å, degrees): 4.142 4.142 4.142 90.00 90.00 90.00
Space group Pm-3m (No. 221)
One atom of each set of equivalent atoms:
Ge 0.000 0.000 0.000 (multiplicity 1)
B 0.000 0.500 0.500 (multiplicity 3)
Ir 0.500 0.500 0.500 (multiplicity 1)

***

Relative stability in meV per atom, measured from the most stable structure: 1 1041; 2 0

***

1:
## KGeB3 (PBE)

Data for a geometry-optimized KGeB3 structure.

Calculated values
- V: 22.25 A^3/atom

Lattice parameters (Å, degrees): 4.809 4.809 4.809 90.00 90.00 90.00
Space group Pm-3m (No. 221)
One atom of each set of equivalent atoms:
K 0.000 0.000 0.000 (multiplicity 1)
Ge 0.500 0.500 0.500 (multiplicity 1)
B 0.000 0.000 0.500 (multiplicity 3)

***

2:
## KGeB3 (PBE)

Data for a geometry-optimized KGeB3 structure.

Calculated values
- V: 16.52 A^3/atom

Lattice parameters (Å, degrees): 4.355 4.355 4.355 90.00 90.00 90.00
Space group Pm-3m (No. 221)
One atom of each set of equivalent atoms:
K 0.000 0.000 0.000 (multiplicity 1)
Ge 0.500 0.500 0.500 (multiplicity 1)
B 0.000 0.500 0.500 (multiplicity 3)

***

Relative stability in meV per atom, measured from the most stable structure: 1 1530; 2 0

***

1:
## KGe3B (PBE)

Data for a geometry-optimized KGe3B structure.

Calculated values
- V: 33.39 A^3/atom

Lattice parameters (Å, degrees): 5.506 5.506 5.506 90.00 90.00 90.00
Space group Pm-3m (No. 221)
One atom of each set of equivalent atoms:
K 0.000 0.000 0.000 (multiplicity 1)
Ge 0.000 0.000 0.500 (multiplicity 3)
B 0.500 0.500 0.500 (multiplicity 1)

***

2:
## KGe3B (PBE)

Data for a geometry-optimized KGe3B structure.

Calculated values
- V: 20.54 A^3/atom

Lattice parameters (Å, degrees): 4.683 4.683 4.683 90.00 90.00 90.00
Space group Pm-3m (No. 221)
One atom of each set of equivalent atoms:
K 0.000 0.000 0.000 (multiplicity 1)
Ge 0.000 0.500 0.500 (multiplicity 3)
B 0.500 0.500 0.500 (multiplicity 1)

***

Relative stability in meV per atom, measured from the most stable structure: 1 1745; 2 0

***

1:
## LaGeB3 (PBE)

Data for a geometry-optimized LaGeB3 structure.

Calculated values
- V: 14.99 A^3/atom

Lattice parameters (Å, degrees): 4.216 4.216 4.216 90.00 90.00 90.00
Space group Pm-3m (No. 221)
One atom of each set of equivalent atoms:
La 0.000 0.000 0.000 (multiplicity 1)
Ge 0.500 0.500 0.500 (multiplicity 1)
B 0.000 0.500 0.500 (multiplicity 3)

***

2:
## LaGeB3 (PBE)

Data for a geometry-optimized LaGeB3 structure.

Calculated values
- V: 21.99 A^3/atom

Lattice parameters (Å, degrees): 4.790 4.790 4.790 90.00 90.00 90.00
Space group Pm-3m (No. 221)
One atom of each set of equivalent atoms:
La 0.000 0.000 0.000 (multiplicity 1)
Ge 0.500 0.500 0.500 (multiplicity 1)
B 0.000 0.000 0.500 (multiplicity 3)

***

Relative stability in meV per atom, measured from the most stable structure: 1 0; 2 1388

***

1:
## LiGe2B2 (PBE)

Data for a geometry-optimized LiGe2B2 structure.

Calculated values
- V: 12.77 A^3/atom

Lattice parameters (Å, degrees): 3.946 3.946 8.201 90.00 90.00 90.00
Space group I4/mmm (No. 139)
One atom of each set of equivalent atoms:
Li 0.000 0.000 0.000 (multiplicity 2)
Ge 0.000 0.500 0.250 (multiplicity 4)
B 0.000 0.000 0.395 (multiplicity 4)

***

2:
## LiGe2B2 (PBE)

Data for a geometry-optimized LiGe2B2 structure.

Calculated values
- V: 13.87 A^3/atom

Lattice parameters (Å, degrees): 6.176 6.176 3.636 90.00 90.00 90.00
Space group P4/mbm (No. 127)
One atom of each set of equivalent atoms:
Li 0.000 0.000 0.000 (multiplicity 2)
Ge 0.207 0.293 0.500 (multiplicity 4)
B 0.093 0.407 0.000 (multiplicity 4)

***

Relative stability in meV per atom, measured from the most stable structure: 1 0; 2 104

***

1:
## Mg2GeB (PBE)

Data for a geometry-optimized Mg2GeB structure.

Calculated values
- V: 17.50 A^3/atom

Lattice parameters (Å, degrees): 3.635 5.762 7.352 77.18 75.86 71.71
Space group P1 (No. 1)
One atom of each set of equivalent atoms:
Mg 0.000 0.000 0.000 (multiplicity 1)
Mg 0.008 0.374 0.608 (multiplicity 1)
Mg 0.257 0.832 0.650 (multiplicity 1)
Mg 0.656 0.437 0.246 (multiplicity 1)
Ge 0.327 0.418 0.928 (multiplicity 1)
Ge 0.905 0.822 0.362 (multiplicity 1)
B 0.563 0.113 0.759 (multiplicity 1)
B 0.677 0.111 0.531 (multiplicity 1)

***

2:
## Mg2GeB (PBE)

Data for a geometry-optimized Mg2GeB structure.

Calculated values
- V: 16.92 A^3/atom

Lattice parameters (Å, degrees): 4.879 5.226 6.033 71.46 76.36 69.63
Space group P1 (No. 1)
One atom of each set of equivalent atoms:
Mg 0.000 0.000 0.000 (multiplicity 1)
Mg 0.132 0.725 0.517 (multiplicity 1)
Mg 0.352 0.270 0.173 (multiplicity 1)
Mg 0.517 0.097 0.653 (multiplicity 1)
Ge 0.629 0.532 0.730 (multiplicity 1)
Ge 0.657 0.636 0.124 (multiplicity 1)
B 0.001 0.230 0.568 (multiplicity 1)
B 0.890 0.218 0.330 (multiplicity 1)

***

3:
## Mg2GeB (PBE)

Data for a geometry-optimized Mg2GeB structure.

Calculated values
- V: 16.08 A^3/atom

Lattice parameters (Å, degrees): 6.360 6.360 6.360 90.00 90.00 90.00
Space group Fm-3m (No. 225)
One atom of each set of equivalent atoms:
Mg 0.250 0.250 0.250 (multiplicity 8)
Ge 0.000 0.000 0.000 (multiplicity 4)
B 0.000 0.000 0.500 (multiplicity 4)

***

Relative stability in meV per atom, measured from the most stable structure: 1 0; 2 50; 3 412

***

1:
## MgGeB3 (PBE)

Data for a geometry-optimized MgGeB3 structure.

Calculated values
- V: 14.56 A^3/atom

Lattice parameters (Å, degrees): 4.175 4.175 4.175 90.00 90.00 90.00
Space group Pm-3m (No. 221)
One atom of each set of equivalent atoms:
Mg 0.000 0.000 0.000 (multiplicity 1)
Ge 0.500 0.500 0.500 (multiplicity 1)
B 0.000 0.500 0.500 (multiplicity 3)

***

2:
## MgGeB3 (PBE)

Data for a geometry-optimized MgGeB3 structure.

Calculated values
- V: 16.20 A^3/atom

Lattice parameters (Å, degrees): 4.327 4.327 4.327 90.00 90.00 90.00
Space group Pm-3m (No. 221)
One atom of each set of equivalent atoms:
Mg 0.000 0.000 0.000 (multiplicity 1)
Ge 0.500 0.500 0.500 (multiplicity 1)
B 0.000 0.000 0.500 (multiplicity 3)

***

Relative stability in meV per atom, measured from the most stable structure: 1 0; 2 597

***

1:
## MnGe3B (PBE)

Data for a geometry-optimized MnGe3B structure.

Calculated values
- V: 18.81 A^3/atom

Lattice parameters (Å, degrees): 4.548 4.548 4.548 90.00 90.00 90.00
Space group Pm-3m (No. 221)
One atom of each set of equivalent atoms:
Mn 0.000 0.000 0.000 (multiplicity 1)
Ge 0.000 0.000 0.500 (multiplicity 3)
B 0.500 0.500 0.500 (multiplicity 1)

***

2:
## MnGe3B (PBE)

Data for a geometry-optimized MnGe3B structure.

Calculated values
- V: 16.12 A^3/atom

Lattice parameters (Å, degrees): 4.320 4.320 4.320 90.00 90.00 90.00
Space group Pm-3m (No. 221)
One atom of each set of equivalent atoms:
Mn 0.000 0.000 0.000 (multiplicity 1)
Ge 0.000 0.500 0.500 (multiplicity 3)
B 0.500 0.500 0.500 (multiplicity 1)

***

Relative stability in meV per atom, measured from the most stable structure: 1 0; 2 124

***

1:
## MnGeB3 (PBE)

Data for a geometry-optimized MnGeB3 structure.

Calculated values
- V: 11.57 A^3/atom

Lattice parameters (Å, degrees): 3.867 3.867 3.867 90.00 90.00 90.00
Space group Pm-3m (No. 221)
One atom of each set of equivalent atoms:
Mn 0.000 0.000 0.000 (multiplicity 1)
Ge 0.500 0.500 0.500 (multiplicity 1)
B 0.000 0.000 0.500 (multiplicity 3)

***

2:
## MnGeB3 (PBE)

Data for a geometry-optimized MnGeB3 structure.

Calculated values
- V: 12.83 A^3/atom

Lattice parameters (Å, degrees): 4.003 4.003 4.003 90.00 90.00 90.00
Space group Pm-3m (No. 221)
One atom of each set of equivalent atoms:
Mn 0.000 0.000 0.000 (multiplicity 1)
Ge 0.500 0.500 0.500 (multiplicity 1)
B 0.000 0.500 0.500 (multiplicity 3)

***

Relative stability in meV per atom, measured from the most stable structure: 1 0; 2 1352

***

1:
## GeBMo2 (PBE)

Data for a geometry-optimized GeBMo2 structure.

Calculated values
- V: 13.23 A^3/atom

Lattice parameters (Å, degrees): 5.960 5.960 5.960 90.00 90.00 90.00
Space group Fm-3m (No. 225)
One atom of each set of equivalent atoms:
Ge 0.000 0.000 0.000 (multiplicity 4)
B 0.000 0.000 0.500 (multiplicity 4)
Mo 0.250 0.250 0.250 (multiplicity 8)

***

2:
## GeBMo2 (PBE)

Data for a geometry-optimized GeBMo2 structure.

Calculated values
- V: 14.00 A^3/atom

Lattice parameters (Å, degrees): 3.1519 3.1519 19.5238 90.00 90.00 120.00
Space group R-3m (No. 166, hexagonal axes)
One atom of each set of equivalent atoms:
Ge 0.0000 0.0000 0.0000 (multiplicity 3)
B 0.0000 0.0000 0.5000 (multiplicity 3)
Mo 0.0000 0.0000 0.2271 (multiplicity 6)

***

3:
## GeBMo2 (PBE)

Data for a geometry-optimized GeBMo2 structure.

Calculated values
- V: 17.82 A^3/atom

Lattice parameters (Å, degrees): 5.006 5.006 11.380 90.00 90.00 90.00
Space group I-42d (No. 122)
One atom of each set of equivalent atoms:
Ge 0.000 0.000 0.000 (multiplicity 4)
B 0.000 0.000 0.500 (multiplicity 4)
Mo 0.165 0.250 0.625 (multiplicity 8)

***

Relative stability in meV per atom, measured from the most stable structure: 1 515; 2 0; 3 1028